First-principles (GGA+U) data for NiSnO2 after structural relaxation, as listed in Alexandria via LeMat-Bulk.

Its calculated volume is 105 Å³ per cell. Its total DFT energy (no corrections) is -40.00 eV per cell. As for the density of states at the Fermi level: 3.02 states/eV per cell. The total magnetization comes out at 0.318 μB/atom.

The structure belongs to space group P1 (No. 1); the cell edges are 3.223, 5.625 and 6.099 Å and the angles 97.23°, 90.12° and 106.63°. The inequivalent atoms are Ni at (0.000, 0.000, 0.000), Ni at (0.294, 0.595, 0.328), Sn at (0.309, 0.619, 0.826), Sn at (0.556, 0.120, 0.501), O at (0.105, 0.219, 0.287), O at (0.113, 0.230, 0.774), O at (0.763, 0.534, 0.558) and O at (0.822, 0.652, 0.110).